Ba2CuPd2 | PBE-GGA | relaxed

Cell: 10.2334 6.1328 8.6779 Å, 90.00 102.76 90.00°
Closest atoms and distances in Å follow each position.
Space group C2/c (No. 15)
Symmetry-distinct sites (fractional):
Ba: 0.1529 0.1309 0.1549  6 Pd 3.22-3.46, 2 Cu 3.47-3.53
Cu: 0.0000 0.3871 0.7500  4 Pd 2.70-2.71
Pd: 0.1219 0.3758 0.5046  2 Cu 2.70-2.71, 1 Pd 2.91

Summary:
* total energy: -4.05 eV/atom
* M_tot: 0.00 μB/f.u.